{
  "formula": "TlMo2Ru",
  "functional": "PBE",
  "state": "relaxed",
  "de_polymorph_mev_per_atom": 26,
  "ef_ev_per_atom": 0.417,
  "sg": "P2/m",
  "cell": [[-0.376, -3.822, 1.627], [1.728, -1.041, -2.046], [6.205, -0.075, 1.258]],
  "species": ["Mo", "Mo", "Ru", "Tl"],
  "frac_coords": [[0.000, 0.969, 0.033], [0.000, 0.531, 0.467], [0.500, 0.250, 0.250], [0.500, 0.750, 0.750]]
}

{
  "formula": "PmMgSiAg",
  "functional": "PBE",
  "state": "relaxed",
  "energy_ev_per_atom": -3.969,
  "sg": "F-43m",
  "cell": [[-0.929, -4.234, 2.377], [1.391, -4.307, -1.988], [3.711, -2.569, 2.016]],
  "species": ["Si", "Mg", "Ag", "Pm"],
  "frac_coords": [[0.750, 0.750, 0.750], [0.500, 0.500, 0.500], [0.250, 0.250, 0.250], [0.000, 0.000, 0.000]]
}

{
  "formula": "LaNd2Mn",
  "functional": "PBE",
  "state": "relaxed",
  "ef_ev_per_atom": 0.174,
  "sg": "P4/mmm",
  "cell": [[3.672, 0.000, 0.000], [0.000, 3.672, 0.000], [0.000, 0.000, 9.043]],
  "species": ["Mn", "Nd", "Nd", "La"],
  "frac_coords": [[0.500, 0.500, 0.000], [0.000, 0.000, 0.801], [0.000, 0.000, 0.199], [0.500, 0.500, 0.500]]
}

{
  "formula": "Ho5Th3As8",
  "functional": "PBE",
  "state": "relaxed",
  "ef_ev_per_atom": -1.484,
  "sg": "R-3m",
  "cell": [[-4.320, 6.511, -2.897], [-7.972, -0.950, -2.234], [-6.046, 3.368, 4.600]],
  "species": ["Ho", "Ho", "Ho", "Ho", "Ho", "Th", "Th", "Th", "As", "As", "As", "As", "As", "As", "As", "As"],
  "frac_coords": [[0.500, 0.000, 0.000], [0.500, 0.500, 0.000], [0.000, 0.000, 0.000], [0.000, 0.500, 0.000], [0.500, 0.500, 0.500], [0.500, 0.000, 0.500], [0.000, 0.000, 0.500], [0.000, 0.500, 0.500], [0.250, 0.250, 0.756], [0.250, 0.744, 0.756], [0.744, 0.250, 0.756], [0.747, 0.747, 0.760], [0.750, 0.750, 0.244], [0.750, 0.256, 0.244], [0.256, 0.750, 0.244], [0.253, 0.253, 0.240]]
}

{
  "formula": "NaTi2NbO8",
  "functional": "PBE",
  "state": "relaxed",
  "energy_ev_per_atom": -7.743,
  "sg": "I-4m2",
  "cell": [[-4.829, 2.352, 2.402], [-0.610, -5.437, -2.165], [3.993, -0.363, 4.307]],
  "species": ["Na", "Ti", "Ti", "Nb", "O", "O", "O", "O", "O", "O", "O", "O"],
  "frac_coords": [[0.000, 0.000, 0.000], [0.750, 0.250, 0.500], [0.500, 0.500, 0.000], [0.250, 0.750, 0.500], [0.359, 0.039, 0.320], [0.344, 0.563, 0.219], [0.344, 0.125, 0.781], [0.719, 0.039, 0.680], [0.875, 0.656, 0.219], [0.961, 0.281, 0.320], [0.961, 0.641, 0.680], [0.437, 0.656, 0.781]]
}

{
  "formula": "LiMgZrRh",
  "functional": "PBE",
  "state": "relaxed",
  "ef_ev_per_atom": -0.378,
  "sg": "F-43m",
  "cell": [[4.584, 0.000, 0.000], [2.292, 3.970, 0.000], [2.292, 1.323, 3.743]],
  "species": ["Mg", "Rh", "Zr", "Li"],
  "frac_coords": [[0.250, 0.250, 0.250], [0.500, 0.500, 0.500], [0.750, 0.750, 0.750], [0.000, 0.000, 0.000]]
}

{
  "formula": "YCo3Ni",
  "functional": "PBE",
  "state": "relaxed",
  "de_polymorph_mev_per_atom": 0,
  "ef_ev_per_atom": 0.476,
  "sg": "Pm-3m",
  "cell": [[-2.165, -3.472, 1.514], [-0.224, -1.623, -4.043], [3.781, -2.084, 0.628]],
  "species": ["Y", "Ni", "Co", "Co", "Co"],
  "frac_coords": [[0.500, 0.500, 0.500], [0.000, 0.000, 0.000], [0.000, 0.500, 0.000], [0.000, 0.000, 0.500], [0.500, 0.000, 0.000]]
}

{
  "formula": "LiScCl4",
  "functional": "PBE",
  "state": "relaxed",
  "de_polymorph_mev_per_atom": 21,
  "sg": "C2/c",
  "cell": [[6.294, -0.450, 0.000], [-1.563, 6.209, 0.000], [-2.366, -2.879, 8.152]],
  "species": ["Li", "Li", "Sc", "Sc", "Cl", "Cl", "Cl", "Cl", "Cl", "Cl", "Cl", "Cl"],
  "frac_coords": [[0.334, 0.584, 0.168], [0.666, 0.416, 0.832], [0.825, 0.075, 0.151], [0.175, 0.925, 0.849], [0.318, 0.075, 0.661], [0.042, 0.807, 0.089], [0.157, 0.414, 0.339], [0.453, 0.718, 0.911], [0.682, 0.925, 0.339], [0.843, 0.586, 0.661], [0.958, 0.193, 0.911], [0.547, 0.282, 0.089]]
}

{
  "formula": "InReTe2",
  "functional": "PBE",
  "state": "relaxed",
  "energy_ev_per_atom": -4.387,
  "sg": "Pmmm",
  "cell": [[-1.488, -2.264, -1.961], [4.371, -0.211, -3.072], [1.868, -3.753, 2.915]],
  "species": ["In", "Re", "Te", "Te"],
  "frac_coords": [[0.500, 0.000, 0.500], [0.000, 0.500, 0.500], [0.000, 0.000, 0.000], [0.500, 0.500, 0.000]]
}

{
  "formula": "TmCdPd",
  "functional": "PBE",
  "state": "relaxed",
  "ef_ev_per_atom": -0.678,
  "sg": "Pmma",
  "cell": [[-1.485, -1.466, -3.047], [-3.193, -5.653, 4.276], [-11.019, 7.540, 1.739]],
  "species": ["Tm", "Tm", "Tm", "Tm", "Tm", "Tm", "Cd", "Cd", "Cd", "Cd", "Cd", "Cd", "Pd", "Pd", "Pd", "Pd", "Pd", "Pd"],
  "frac_coords": [[0.000, 0.221, 0.952], [0.000, 0.779, 0.048], [0.000, 0.221, 0.548], [0.000, 0.779, 0.452], [0.000, 0.180, 0.250], [0.000, 0.820, 0.750], [0.500, 0.438, 0.106], [0.500, 0.562, 0.894], [0.500, 0.438, 0.394], [0.500, 0.562, 0.606], [0.500, 0.821, 0.250], [0.500, 0.179, 0.750], [0.500, 0.068, 0.097], [0.500, 0.932, 0.903], [0.500, 0.068, 0.403], [0.500, 0.932, 0.597], [0.000, 0.554, 0.250], [0.000, 0.446, 0.750]]
}

{
  "formula": "CaGe3Pb",
  "functional": "PBE",
  "state": "relaxed",
  "de_polymorph_mev_per_atom": 0,
  "ef_ev_per_atom": 0.614,
  "sg": "Pm-3m",
  "cell": [[-3.192, 0.198, 4.394], [4.386, -0.270, 3.198], [0.335, 5.424, -0.001]],
  "species": ["Pb", "Ge", "Ge", "Ge", "Ca"],
  "frac_coords": [[0.000, 0.000, 0.000], [0.000, 0.500, 0.000], [0.000, 0.000, 0.500], [0.500, 0.000, 0.000], [0.500, 0.500, 0.500]]
}

{
  "formula": "Ac8InPd3I4",
  "functional": "PBE",
  "state": "relaxed",
  "energy_ev_per_atom": -4.434,
  "sg": "R-3m",
  "cell": [[9.181, 0.000, 0.000], [0.000, 9.994, 0.577], [-4.591, -4.591, 6.492]],
  "species": ["Ac", "Ac", "Ac", "Ac", "Ac", "Ac", "Ac", "Ac", "In", "Pd", "Pd", "Pd", "I", "I", "I", "I"],
  "frac_coords": [[0.241, 0.695, 0.954], [0.241, 0.695, 0.482], [0.269, 0.306, 0.537], [0.712, 0.695, 0.954], [0.288, 0.305, 0.046], [0.731, 0.694, 0.463], [0.759, 0.305, 0.518], [0.759, 0.305, 0.046], [0.000, 0.500, 0.000], [0.500, 0.500, 0.000], [0.500, 0.500, 0.500], [0.000, 0.500, 0.500], [0.500, 0.000, 0.000], [0.500, 0.000, 0.500], [0.000, 0.000, 0.000], [0.000, 0.000, 0.500]]
}